Ba2ZnW | PBEsol | relaxed

Lattice parameters (Å, degrees): 3.566 3.566 9.255 90.00 90.00 90.00
Positions (direct):
Ba  0.500  0.500  0.330
Ba  0.000  0.000  0.916
Zn  0.500  0.500  0.665
W  0.000  0.000  0.589

Space-group type: P4mm
Magnetization, μB per atom: 0.00
DFT total energy, eV/atom: -4.236
E_form, meV per atom: 686

---

LiCa2Pt | PBEsol | relaxed

Lattice parameters (Å, degrees): 6.455 6.560 6.560 75.99 60.53 60.53
Positions (direct):
Li  0.250  0.500  0.500
Li  0.500  0.000  0.000
Ca  0.375  0.545  0.955
Ca  0.080  0.045  0.545
Ca  0.670  0.955  0.455
Ca  0.875  0.455  0.045
Pt  0.000  0.000  0.000
Pt  0.750  0.500  0.500

Space-group type: I-42d
Magnetization, μB per atom: 0.00
DFT total energy, eV/atom: -3.502
E_form, meV per atom: -203

---

CaMnBi2 | PBEsol | relaxed

Lattice parameters (Å, degrees): 5.247 5.247 5.247 60.00 60.00 60.00
Each line ends with the local moment (μB).
Positions (direct):
Bi  0.250  0.250  0.250  -0.16
Bi  0.750  0.750  0.750  -0.16
Mn  0.500  0.500  0.500  3.87
Ca  0.000  0.000  0.000  -0.02

Space-group type: Fm-3m
Magnetization, μB per atom: 0.93
DFT total energy, eV/atom: -5.109
E_form, meV per atom: 8

---

MgFe2RuCl | PBEsol | relaxed

Lattice parameters (Å, degrees): 4.542 4.619 4.619 90.00 90.00 90.00
Each line ends with the local moment (μB).
Positions (direct):
Fe  0.000  0.500  0.000  2.85
Fe  0.000  0.000  0.500  2.85
Ru  0.000  0.000  0.000  0.53
Cl  0.500  0.000  0.000  0.02
Mg  0.500  0.500  0.500  -0.04

Space-group type: P4/mmm
Magnetization, μB per atom: 1.25
DFT total energy, eV/atom: -5.340
E_form (uncorrected), eV/f.u.: 5.12